1.
A relaxed structure of HfS2NCl. Source: Alexandria via LeMat-Bulk, functional PBE-GGA.

abc: 4.5070 4.5070 3.8535
angles: 90.00 90.00 90.00
Last column: nearest neighbours and their distance in Å.
Space group P4/mmm (No. 123)
One atom of each set of equivalent atoms:
Hf1 0.0000 0.0000 0.0000 [1 per cell]  8 S 2.96, 4 N 3.19
S1 0.0000 0.5000 0.5000 [2 per cell]  2 Cl 2.25
N1 0.5000 0.5000 0.0000 [1 per cell]  2 Cl 1.93
Cl1 0.5000 0.5000 0.5000 [1 per cell]  2 N 1.93

Values from the calculation:
DOS(E_F) (states/eV per atom): 0.715
Formation energy without anion corrections (kcal/mol of atoms): 24.5
Spin magnetization (μB per formula unit): 0.00

---

2.
A relaxed structure of Mg7Tl. Source: Alexandria via LeMat-Bulk, functional PBE-GGA.

abc: 9.0773 9.0773 9.0773
angles: 90.00 90.00 90.00
Last column: nearest neighbours and their distance in Å.
Space group Fm-3m (No. 225)
One atom of each set of equivalent atoms:
Mg1 0.0000 0.0000 0.0000 [4 per cell]  12 Mg 3.21
Mg2 0.0000 0.2500 0.2500 [24 per cell]  2 Tl 3.21, 10 Mg 3.21
Tl1 0.0000 0.0000 0.5000 [4 per cell]  12 Mg 3.21

Values from the calculation:
ΔE_f (meV per atom): 1
DOS(E_F) (states/eV per atom): 0.659
Spin magnetization (μB per formula unit): 0.00

---

3.
A relaxed structure of AcPrAsCl. Source: Alexandria via LeMat-Bulk, functional PBE-GGA.

abc: 7.4950 7.4950 7.4950
angles: 90.00 90.00 90.00
Last column: nearest neighbours and their distance in Å.
Space group F-43m (No. 216)
One atom of each set of equivalent atoms:
Ac1 0.0000 0.0000 0.0000 [4 per cell]  4 Cl 3.25, 4 As 3.25
Pr1 0.0000 0.0000 0.5000 [4 per cell]  4 As 3.25, 4 Cl 3.25
As1 0.2500 0.2500 0.7500 [4 per cell]  4 Ac 3.25, 4 Pr 3.25
Cl1 0.2500 0.2500 0.2500 [4 per cell]  4 Pr 3.25, 4 Ac 3.25

Values from the calculation:
DOS(E_F) (states/eV per atom): 0.794
Formation energy without anion corrections (kcal/mol of atoms): -31.0
Spin magnetization (μB per formula unit): 0.10

---

4.
A relaxed structure of Pm2ICl5. Source: Alexandria via LeMat-Bulk, functional PBE-GGA.

abc: 4.6616 8.4226 11.1166
angles: 90.00 90.00 90.00
Last column: nearest neighbours and their distance in Å.
Space group Immm (No. 71)
One atom of each set of equivalent atoms:
Pm1 0.0000 0.0000 0.2412 [4 per cell]  7 Cl 2.68-2.93
I1 0.0000 0.5000 0.0000 [2 per cell]  4 Pm 3.70, 12 Cl 3.98-4.02
Cl1 0.0000 0.0000 0.0000 [2 per cell]  2 Pm 2.68
Cl2 0.0000 0.3130 0.3326 [8 per cell]  3 Pm 2.83-2.93, 3 Cl 3.15

Values from the calculation:
DOS(E_F) (states/eV per atom): 0.000
Formation energy without anion corrections (kcal/mol of atoms): -46.5
Spin magnetization (μB per formula unit): 0.00

---

5.
A relaxed structure of AsIrC3. Source: Alexandria via LeMat-Bulk, functional PBE-GGA.

abc: 4.0222 4.0222 4.0222
angles: 90.00 90.00 90.00
Last column: nearest neighbours and their distance in Å.
Space group Pm-3m (No. 221)
One atom of each set of equivalent atoms:
As1 0.0000 0.0000 0.0000 [1 per cell]  12 C 2.84
Ir1 0.5000 0.5000 0.5000 [1 per cell]  6 C 2.01
C1 0.0000 0.5000 0.5000 [3 per cell]  2 Ir 2.01

Values from the calculation:
ΔE_f (meV per atom): 2230
DOS(E_F) (states/eV per atom): 0.743
Spin magnetization (μB per formula unit): 0.00

---

6.
A relaxed structure of YbTaO3. Source: Alexandria via LeMat-Bulk, functional PBE-GGA.

abc: 4.0307 4.0307 4.0307
angles: 90.00 90.00 90.00
Last column: nearest neighbours and their distance in Å.
Space group Pm-3m (No. 221)
One atom of each set of equivalent atoms:
Yb1 0.0000 0.0000 0.0000 [1 per cell]  12 O 2.85
Ta1 0.5000 0.5000 0.5000 [1 per cell]  6 O 2.02
O1 0.0000 0.5000 0.5000 [3 per cell]  2 Ta 2.02

Values from the calculation:
DOS(E_F) (states/eV per atom): 2.991
Formation energy without anion corrections (kcal/mol of atoms): -62.7
Spin magnetization (μB per formula unit): 0.14

---

7.
A relaxed structure of OsRuRh3. Source: Alexandria via LeMat-Bulk, functional PBE-GGA.

abc: 4.6600 4.6600 4.6600
angles: 90.00 90.00 90.00
Last column: nearest neighbours and their distance in Å.
Space group Pm-3m (No. 221)
One atom of each set of equivalent atoms:
Os1 0.0000 0.0000 0.0000 [1 per cell]  6 Rh 2.33
Ru1 0.5000 0.5000 0.5000 [1 per cell]  12 Rh 3.30
Rh1 0.0000 0.0000 0.5000 [3 per cell]  2 Os 2.33

Values from the calculation:
ΔE_f (meV per atom): 1742
DOS(E_F) (states/eV per atom): 1.383
Spin magnetization (μB per formula unit): 2.91

---

8.
A relaxed structure of BaTeRuO6. Source: Alexandria via LeMat-Bulk, functional PBE-GGA.

abc: 5.3473 5.3473 5.8138
angles: 90.00 90.00 120.00
Last column: nearest neighbours and their distance in Å.
Space group P312 (No. 149)
One atom of each set of equivalent atoms:
Ba1 0.0000 0.0000 0.0000 [1 per cell]  6 O 2.73
Te1 0.6667 0.3333 0.5000 [1 per cell]  6 O 1.99
Ru1 0.3333 0.6667 0.5000 [1 per cell]  6 O 2.01
O1 0.3888 0.0031 0.6930 [6 per cell]  1 Te 1.99, 1 Ru 2.01

Values from the calculation:
DOS(E_F) (states/eV per atom): 0.098
Formation energy without anion corrections (kcal/mol of atoms): -35.1
Spin magnetization (μB per formula unit): 2.00

---

9.
A relaxed structure of SiTe3F. Source: Alexandria via LeMat-Bulk, functional PBE-GGA.

abc: 5.1637 5.1637 5.1637
angles: 90.00 90.00 90.00
Last column: nearest neighbours and their distance in Å.
Space group Pm-3m (No. 221)
One atom of each set of equivalent atoms:
Si1 0.0000 0.0000 0.0000 [1 per cell]  6 Te 2.58
Te1 0.0000 0.0000 0.5000 [3 per cell]  2 Si 2.58
F1 0.5000 0.5000 0.5000 [1 per cell]  12 Te 3.65

Values from the calculation:
DOS(E_F) (states/eV per atom): 1.278
Formation energy without anion corrections (kcal/mol of atoms): 6.4
Spin magnetization (μB per formula unit): 0.00

---

10.
A relaxed structure of KGaPdPt2. Source: Alexandria via LeMat-Bulk, functional PBE-GGA.

abc: 5.0590 5.0590 4.8997
angles: 90.00 90.00 90.00
Last column: nearest neighbours and their distance in Å.
Space group P4/mmm (No. 123)
One atom of each set of equivalent atoms:
K1 0.0000 0.0000 0.0000 [1 per cell]  2 Pd 2.45, 4 Pt 2.53
Ga1 0.5000 0.5000 0.5000 [1 per cell]  8 Pt 3.52, 4 Pd 3.58
Pd1 0.0000 0.0000 0.5000 [1 per cell]  2 K 2.45
Pt1 0.0000 0.5000 0.0000 [2 per cell]  2 K 2.53

Values from the calculation:
ΔE_f (meV per atom): 1623
DOS(E_F) (states/eV per atom): 0.048
Spin magnetization (μB per formula unit): 0.00

---

11.
A relaxed structure of RbAl2Te2. Source: Alexandria via LeMat-Bulk, functional PBE-GGA.

abc: 5.4879 5.4879 9.8321
angles: 90.00 90.00 90.00
Last column: nearest neighbours and their distance in Å.
Space group I4/mmm (No. 139)
One atom of each set of equivalent atoms:
Rb1 0.0000 0.0000 0.0000 [2 per cell]  2 Al 3.52, 8 Te 3.68
Al1 0.0000 0.0000 0.3584 [4 per cell]  1 Al 2.78, 4 Te 2.94
Te1 0.0000 0.5000 0.2500 [4 per cell]  4 Al 2.94

Values from the calculation:
DOS(E_F) (states/eV per atom): 0.238
Formation energy without anion corrections (kcal/mol of atoms): -8.5
Spin magnetization (μB per formula unit): 0.00

---

12.
A relaxed structure of HfAl2Ga. Source: Alexandria via LeMat-Bulk, functional PBE-GGA.

abc: 4.0811 4.0811 4.1059
angles: 90.00 90.00 90.00
Last column: nearest neighbours and their distance in Å.
Space group P4/mmm (No. 123)
One atom of each set of equivalent atoms:
Hf1 0.0000 0.0000 0.0000 [1 per cell]  4 Ga 2.89, 8 Al 2.89
Al1 0.0000 0.5000 0.5000 [2 per cell]  4 Al 2.89, 4 Hf 2.89, 4 Ga 2.89
Ga1 0.5000 0.5000 0.0000 [1 per cell]  4 Hf 2.89, 8 Al 2.89

Values from the calculation:
ΔE_f (meV per atom): -367
DOS(E_F) (states/eV per atom): 0.306
Spin magnetization (μB per formula unit): 0.00

---

13.
A relaxed structure of BaTl9Hg2. Source: Alexandria via LeMat-Bulk, functional PBE-GGA.

abc: 13.3446 13.3446 8.6814
angles: 90.00 90.00 90.00
Last column: nearest neighbours and their distance in Å.
Space group I4_1/amd (No. 141, origin choice 2)
One atom of each set of equivalent atoms:
Ba1 0.0000 0.2500 0.3750 [4 per cell]  18 Tl 4.05-4.36
Tl1 0.0000 0.2500 0.8750 [4 per cell]  4 Hg 3.51, 8 Tl 3.58
Tl2 0.1229 0.0513 0.6726 [32 per cell]  2 Hg 3.22-3.35, 6 Tl 3.28-3.58
Hg1 0.0000 0.0000 0.0000 [8 per cell]  10 Tl 3.22-3.51

Values from the calculation:
ΔE_f (meV per atom): -88
DOS(E_F) (states/eV per atom): 0.503
Spin magnetization (μB per formula unit): 0.00